a) Material: RbCdIr3
Method: DFT, PBE-GGA
State: relaxed

The calculation puts the calculated density at 9836 kg/m3.

The space group is Pm-3m (No. 221) and the conventional cell measures 5.0757, 5.0757 and 5.0757 Å, with angles of 90.00, 90.00 and 90.00 degrees. The inequivalent atoms are Rb at (0.0000, 0.0000, 0.0000), Cd at (0.5000, 0.5000, 0.5000) and Ir at (0.0000, 0.5000, 0.5000).

b) Material: RbCdIr3
Method: DFT, PBE-GGA
State: relaxed

The calculation puts the calculated density at 11053 kg/m3.

The space group is Pm-3m (No. 221) and the conventional cell measures 4.8821, 4.8821 and 4.8821 Å, with angles of 90.00, 90.00 and 90.00 degrees. The inequivalent atoms are Rb at (0.0000, 0.0000, 0.0000), Cd at (0.5000, 0.5000, 0.5000) and Ir at (0.0000, 0.0000, 0.5000).

What should be chosen as the most stable of them? Choose a).

a) Material: RbCd2Ir
Method: DFT, PBE-GGA
State: relaxed

The calculation puts the calculated density at 5664 kg/m3.

The space group is I-42d (No. 122) and the conventional cell measures 5.7790, 5.7790 and 17.6466 Å, with angles of 90.00, 90.00 and 90.00 degrees. The inequivalent atoms are Rb at (0.0000, 0.0000, 0.0000), Cd at (0.0022, 0.2500, 0.6250) and Ir at (0.0000, 0.0000, 0.5000).

b) Material: RbCd2Ir
Method: DFT, PBE-GGA
State: relaxed

The calculation puts the calculated density at 8797 kg/m3.

The space group is Fm-3m (No. 225) and the conventional cell measures 7.2393, 7.2393 and 7.2393 Å, with angles of 90.00, 90.00 and 90.00 degrees. The inequivalent atoms are Rb at (0.0000, 0.0000, 0.0000), Cd at (0.2500, 0.2500, 0.2500) and Ir at (0.0000, 0.0000, 0.5000).

What should be chosen as the most stable of them? Choose a).

a) Material: RbTlCd2Ir
Method: DFT, PBE-GGA
State: relaxed

The calculation puts the calculated density at 5698 kg/m3.

The space group is P4/mmm (No. 123) and the conventional cell measures 5.5902, 5.5902 and 6.5919 Å, with angles of 90.00, 90.00 and 90.00 degrees. The inequivalent atoms are Rb at (0.0000, 0.0000, 0.0000), Tl at (0.0000, 0.0000, 0.5000), Cd at (0.0000, 0.5000, 0.5000) and Ir at (0.5000, 0.5000, 0.0000).

b) Material: RbTlCd2Ir
Method: DFT, PBE-GGA
State: relaxed

The calculation puts the calculated density at 7697 kg/m3.

The space group is P4/mmm (No. 123) and the conventional cell measures 5.3705, 5.3705 and 5.2871 Å, with angles of 90.00, 90.00 and 90.00 degrees. The inequivalent atoms are Rb at (0.0000, 0.0000, 0.0000), Tl at (0.5000, 0.5000, 0.0000), Cd at (0.0000, 0.5000, 0.5000) and Ir at (0.5000, 0.5000, 0.5000).

What should be chosen as the most stable of them? Choose b).